Density functional theory data (PBE-GGA) for a relaxed structure of SrCrRe2.

## Properties
**DFT formation energy**: 1.20 eV per atom

Geometry as extended XYZ:
```
4
Lattice="2.702 -4.927 0.000 2.702 4.927 0.000 0.000 0.000 2.705" Properties=species:S:1:pos:R:3 pbc="T T T"
Sr 0.000 0.000 0.000
Cr 2.702 0.000 0.000
Re 1.351 2.464 1.353
Re 1.351 -2.464 1.353
```